Here is a geometry-optimized Mo3AsO structure from the Alexandria database. Energies are from GGA+U.

Cell lengths 4.2085, 4.2085, 4.2085 Å; angles 90.00, 90.00, 90.00 degrees
Closest atoms and distances in Å follow each position.
Positions (direct):
Mo  0.0000  0.0000  0.5000  2 O 2.10
Mo  0.0000  0.5000  0.0000  2 O 2.10
Mo  0.5000  0.0000  0.0000  2 O 2.10
As  0.5000  0.5000  0.5000  12 Mo 2.98
O  0.0000  0.0000  0.0000  6 Mo 2.10

DOS at the Fermi energy ... 2.27 states/eV/f.u.
E above lowest polymorph ... 0.000 eV per atom
Total moment ... 3.1 μB/f.u.